i | A plane-wave DFT calculation with PBE was carried out for an optimized crystal structure of YOsIO2.

Structure (extended XYZ):
```
5
Lattice="4.0571 0.0000 0.0000 0.0000 4.0571 0.0000 0.0000 0.0000 5.5454" Properties=species:S:1:pos:R:3 pbc="T T T"
Y 0.0000 0.0000 0.0000
Os 2.0286 2.0286 2.7727
I 2.0286 2.0286 0.0000
O 0.0000 2.0286 2.7727
O 2.0286 0.0000 2.7727
```

Calculated values
Spin magnetization = 0.58 μB per formula unit
Volume = 18.256 Å³/atom

ii | A plane-wave DFT calculation with PBE was carried out for an optimized crystal structure of YOsIO2.

Structure (extended XYZ):
```
5
Lattice="4.2198 0.0000 0.0000 0.0000 4.2198 0.0000 0.0000 0.0000 6.4920" Properties=species:S:1:pos:R:3 pbc="T T T"
Y 0.0000 0.0000 0.0000
Os 2.1099 2.1099 3.2460
I 0.0000 0.0000 3.2460
O 0.0000 2.1099 0.0000
O 2.1099 0.0000 0.0000
```

Calculated values
Spin magnetization = 3.63 μB per formula unit
Volume = 23.120 Å³/atom

Which structure is the least stable? The one labeled ii.

i | A plane-wave DFT calculation with PBE was carried out for an optimized crystal structure of ZnOsIO2.

Structure (extended XYZ):
```
5
Lattice="3.8203 0.0000 0.0000 0.0000 3.8203 0.0000 0.0000 0.0000 6.3353" Properties=species:S:1:pos:R:3 pbc="T T T"
Zn 0.0000 0.0000 0.0000
Os 1.9101 1.9101 3.1677
I 0.0000 0.0000 3.1677
O 0.0000 1.9101 0.0000
O 1.9101 0.0000 0.0000
```

Calculated values
Spin magnetization = 3.16 μB per formula unit
Volume = 18.492 Å³/atom

ii | A plane-wave DFT calculation with PBE was carried out for an optimized crystal structure of ZnOsIO2.

Structure (extended XYZ):
```
5
Lattice="3.7883 0.0000 0.0000 0.0000 3.7883 0.0000 0.0000 0.0000 8.4436" Properties=species:S:1:pos:R:3 pbc="T T T"
Zn 0.0000 0.0000 0.0000
Os 1.8941 1.8941 4.2218
I 1.8941 1.8941 0.0000
O 0.0000 1.8941 4.2218
O 1.8941 0.0000 4.2218
```

Calculated values
Spin magnetization = 0.00 μB per formula unit
Volume = 24.235 Å³/atom

Which structure is the least stable? The one labeled i.

i | A plane-wave DFT calculation with PBE was carried out for an optimized crystal structure of ZrOsIO2.

Structure (extended XYZ):
```
5
Lattice="3.8516 0.0000 0.0000 0.0000 3.8516 0.0000 0.0000 0.0000 7.1390" Properties=species:S:1:pos:R:3 pbc="T T T"
Zr 0.0000 0.0000 0.0000
Os 1.9258 1.9258 3.5695
I 1.9258 1.9258 0.0000
O 0.0000 1.9258 3.5695
O 1.9258 0.0000 3.5695
```

Calculated values
Spin magnetization = 0.12 μB per formula unit
Volume = 21.182 Å³/atom

ii | A plane-wave DFT calculation with PBE was carried out for an optimized crystal structure of ZrOsIO2.

Structure (extended XYZ):
```
5
Lattice="4.0333 0.0000 0.0000 0.0000 4.0333 0.0000 0.0000 0.0000 6.4076" Properties=species:S:1:pos:R:3 pbc="T T T"
Zr 0.0000 0.0000 0.0000
Os 2.0167 2.0167 3.2038
I 0.0000 0.0000 3.2038
O 0.0000 2.0167 0.0000
O 2.0167 0.0000 0.0000
```

Calculated values
Spin magnetization = 2.54 μB per formula unit
Volume = 20.847 Å³/atom

Which structure is the least stable? The one labeled i.

i | A plane-wave DFT calculation with PBE was carried out for an optimized crystal structure of P2IO.

Structure (extended XYZ):
```
4
Lattice="0.0000 3.2123 3.2123 3.2123 0.0000 3.2123 3.2123 3.2123 0.0000" Properties=species:S:1:pos:R:3 pbc="T T T"
P 1.6061 1.6061 1.6061
P 4.8184 4.8184 4.8184
I 0.0000 0.0000 0.0000
O 3.2123 3.2123 3.2123
```

Calculated values
Spin magnetization = 0.00 μB per formula unit
Volume = 16.573 Å³/atom

ii | A plane-wave DFT calculation with PBE was carried out for an optimized crystal structure of P2IO.

Structure (extended XYZ):
```
8
Lattice="-2.4600 2.4600 6.5589 2.4600 -2.4600 6.5589 2.4600 2.4600 -6.5589" Properties=species:S:1:pos:R:3 pbc="T T T"
P -0.0056 1.2300 1.6397
P 1.2300 2.4544 4.9192
P 0.0056 3.6899 1.6397
P -1.2300 2.4655 4.9192
I 2.4600 0.0000 3.2795
I 0.0000 0.0000 6.5589
O 0.0000 0.0000 0.0000
O 0.0000 2.4600 3.2795
```

Calculated values
Spin magnetization = 0.00 μB per formula unit
Volume = 19.845 Å³/atom

Which structure is the least stable? The one labeled i.

i | A plane-wave DFT calculation with PBE was carried out for an optimized crystal structure of PPdI2O.

Structure (extended XYZ):
```
5
Lattice="5.5508 0.0000 0.0000 0.0000 5.5508 0.0000 0.0000 0.0000 3.8288" Properties=species:S:1:pos:R:3 pbc="T T T"
P 0.0000 0.0000 0.0000
Pd 2.7754 2.7754 1.9144
I 0.0000 2.7754 1.9144
I 2.7754 0.0000 1.9144
O 2.7754 2.7754 0.0000
```

Calculated values
Spin magnetization = 0.00 μB per formula unit
Volume = 23.594 Å³/atom

ii | A plane-wave DFT calculation with PBE was carried out for an optimized crystal structure of PPdI2O.

Structure (extended XYZ):
```
5
Lattice="5.5690 0.0000 0.0000 0.0000 5.5690 0.0000 0.0000 0.0000 3.4779" Properties=species:S:1:pos:R:3 pbc="T T T"
P 0.0000 0.0000 0.0000
Pd 2.7845 2.7845 1.7390
I 0.0000 2.7845 0.0000
I 2.7845 0.0000 0.0000
O 0.0000 0.0000 1.7390
```

Calculated values
Spin magnetization = 0.00 μB per formula unit
Volume = 21.572 Å³/atom

Which structure is the least stable? The one labeled i.

i | A plane-wave DFT calculation with PBE was carried out for an optimized crystal structure of PPdIO2.

Structure (extended XYZ):
```
5
Lattice="3.9956 0.0000 0.0000 0.0000 3.9956 0.0000 0.0000 0.0000 5.1655" Properties=species:S:1:pos:R:3 pbc="T T T"
P 0.0000 0.0000 0.0000
Pd 0.0000 0.0000 2.5828
I 1.9978 1.9978 0.0000
O 0.0000 1.9978 2.5828
O 1.9978 0.0000 2.5828
```

Calculated values
Spin magnetization = 1.57 μB per formula unit
Volume = 16.493 Å³/atom

ii | A plane-wave DFT calculation with PBE was carried out for an optimized crystal structure of PPdIO2.

Structure (extended XYZ):
```
5
Lattice="3.6295 0.0000 0.0000 0.0000 3.6295 0.0000 0.0000 0.0000 6.2317" Properties=species:S:1:pos:R:3 pbc="T T T"
P 0.0000 0.0000 0.0000
Pd 1.8148 1.8148 3.1158
I 0.0000 0.0000 3.1158
O 0.0000 1.8148 0.0000
O 1.8148 0.0000 0.0000
```

Calculated values
Spin magnetization = 0.00 μB per formula unit
Volume = 16.419 Å³/atom

iii | A plane-wave DFT calculation with PBE was carried out for an optimized crystal structure of PPdIO2.

Structure (extended XYZ):
```
5
Lattice="3.8489 0.0000 0.0000 0.0000 3.8489 0.0000 0.0000 0.0000 7.9849" Properties=species:S:1:pos:R:3 pbc="T T T"
P 0.0000 0.0000 0.0000
Pd 1.9244 1.9244 3.9924
I 1.9244 1.9244 0.0000
O 0.0000 1.9244 3.9924
O 1.9244 0.0000 3.9924
```

Calculated values
Spin magnetization = 1.36 μB per formula unit
Volume = 23.657 Å³/atom

iv | A plane-wave DFT calculation with PBE was carried out for an optimized crystal structure of PPdIO2.

Structure (extended XYZ):
```
5
Lattice="3.8703 0.0000 0.0000 0.0000 3.8703 0.0000 0.0000 0.0000 5.6947" Properties=species:S:1:pos:R:3 pbc="T T T"
P 0.0000 0.0000 0.0000
Pd 1.9351 1.9351 0.0000
I 0.0000 0.0000 2.8474
O 0.0000 1.9351 2.8474
O 1.9351 0.0000 2.8474
```

Calculated values
Spin magnetization = 0.00 μB per formula unit
Volume = 17.060 Å³/atom

Which structure is the least stable? The one labeled iii.

i | A plane-wave DFT calculation with PBE was carried out for an optimized crystal structure of P2PdIO.

Structure (extended XYZ):
```
5
Lattice="5.1381 0.0000 0.0000 0.0000 5.1381 0.0000 0.0000 0.0000 3.8308" Properties=species:S:1:pos:R:3 pbc="T T T"
P 0.0000 2.5690 0.0000
P 2.5690 0.0000 0.0000
Pd 0.0000 0.0000 1.9154
I 2.5690 2.5690 0.0000
O 2.5690 2.5690 1.9154
```

Calculated values
Spin magnetization = 0.00 μB per formula unit
Volume = 20.227 Å³/atom

ii | A plane-wave DFT calculation with PBE was carried out for an optimized crystal structure of P2PdIO.

Structure (extended XYZ):
```
5
Lattice="4.8361 0.0000 0.0000 0.0000 4.8361 0.0000 0.0000 0.0000 3.9757" Properties=species:S:1:pos:R:3 pbc="T T T"
P 0.0000 2.4181 0.0000
P 2.4181 0.0000 0.0000
Pd 0.0000 0.0000 0.0000
I 2.4181 2.4181 1.9878
O 0.0000 0.0000 1.9878
```

Calculated values
Spin magnetization = 0.00 μB per formula unit
Volume = 18.597 Å³/atom

Which structure is the least stable? The one labeled i.

i | A plane-wave DFT calculation with PBE was carried out for an optimized crystal structure of RbP2IO.

Structure (extended XYZ):
```
5
Lattice="5.4456 0.0000 0.0000 0.0000 5.4456 0.0000 0.0000 0.0000 4.2579" Properties=species:S:1:pos:R:3 pbc="T T T"
Rb 0.0000 0.0000 0.0000
P 0.0000 2.7228 2.1290
P 2.7228 0.0000 2.1290
I 2.7228 2.7228 2.1290
O 2.7228 2.7228 0.0000
```

Calculated values
Spin magnetization = 2.01 μB per formula unit
Volume = 25.253 Å³/atom

ii | A plane-wave DFT calculation with PBE was carried out for an optimized crystal structure of RbP2IO.

Structure (extended XYZ):
```
5
Lattice="6.5349 0.0000 0.0000 0.0000 6.5349 0.0000 0.0000 0.0000 4.5017" Properties=species:S:1:pos:R:3 pbc="T T T"
Rb 0.0000 0.0000 0.0000
P 0.0000 3.2675 0.0000
P 3.2675 0.0000 0.0000
I 3.2675 3.2675 2.2508
O 0.0000 0.0000 2.2508
```

Calculated values
Spin magnetization = 5.00 μB per formula unit
Volume = 38.449 Å³/atom

Which structure is the least stable? The one labeled ii.

i | A plane-wave DFT calculation with PBE was carried out for an optimized crystal structure of RbPI2O.

Structure (extended XYZ):
```
5
Lattice="6.5142 0.0000 0.0000 0.0000 6.5142 0.0000 0.0000 0.0000 4.1878" Properties=species:S:1:pos:R:3 pbc="T T T"
Rb 0.0000 0.0000 0.0000
P 3.2571 3.2571 2.0939
I 0.0000 3.2571 0.0000
I 3.2571 0.0000 0.0000
O 0.0000 0.0000 2.0939
```

Calculated values
Spin magnetization = 0.00 μB per formula unit
Volume = 35.541 Å³/atom

ii | A plane-wave DFT calculation with PBE was carried out for an optimized crystal structure of RbPI2O.

Structure (extended XYZ):
```
5
Lattice="6.1403 0.0000 0.0000 0.0000 6.1403 0.0000 0.0000 0.0000 3.6673" Properties=species:S:1:pos:R:3 pbc="T T T"
Rb 0.0000 0.0000 0.0000
P 3.0701 3.0701 1.8337
I 0.0000 3.0701 1.8337
I 3.0701 0.0000 1.8337
O 3.0701 3.0701 0.0000
```

Calculated values
Spin magnetization = 0.00 μB per formula unit
Volume = 27.654 Å³/atom

Which structure is the least stable? The one labeled i.

i | A plane-wave DFT calculation with PBE was carried out for an optimized crystal structure of RePIO2.

Structure (extended XYZ):
```
5
Lattice="3.8128 0.0000 0.0000 0.0000 3.8128 0.0000 0.0000 0.0000 6.0881" Properties=species:S:1:pos:R:3 pbc="T T T"
Re 0.0000 0.0000 0.0000
P 1.9064 1.9064 3.0441
I 0.0000 0.0000 3.0441
O 0.0000 1.9064 0.0000
O 1.9064 0.0000 0.0000
```

Calculated values
Spin magnetization = 0.00 μB per formula unit
Volume = 17.701 Å³/atom

ii | A plane-wave DFT calculation with PBE was carried out for an optimized crystal structure of RePIO2.

Structure (extended XYZ):
```
5
Lattice="3.8504 0.0000 0.0000 0.0000 3.8504 0.0000 0.0000 0.0000 5.4200" Properties=species:S:1:pos:R:3 pbc="T T T"
Re 0.0000 0.0000 0.0000
P 0.0000 0.0000 2.7100
I 1.9252 1.9252 2.7100
O 0.0000 1.9252 0.0000
O 1.9252 0.0000 0.0000
```

Calculated values
Spin magnetization = 0.00 μB per formula unit
Volume = 16.071 Å³/atom

iii | A plane-wave DFT calculation with PBE was carried out for an optimized crystal structure of RePIO2.

Structure (extended XYZ):
```
5
Lattice="3.8984 0.0000 0.0000 0.0000 3.8984 0.0000 0.0000 0.0000 5.8971" Properties=species:S:1:pos:R:3 pbc="T T T"
Re 0.0000 0.0000 0.0000
P 1.9492 1.9492 0.0000
I 1.9492 1.9492 2.9485
O 0.0000 1.9492 2.9485
O 1.9492 0.0000 2.9485
```

Calculated values
Spin magnetization = 3.72 μB per formula unit
Volume = 17.924 Å³/atom

iv | A plane-wave DFT calculation with PBE was carried out for an optimized crystal structure of RePIO2.

Structure (extended XYZ):
```
5
Lattice="3.6867 0.0000 0.0000 0.0000 3.6867 0.0000 0.0000 0.0000 6.4249" Properties=species:S:1:pos:R:3 pbc="T T T"
Re 0.0000 0.0000 0.0000
P 1.8434 1.8434 3.2124
I 1.8434 1.8434 0.0000
O 0.0000 1.8434 3.2124
O 1.8434 0.0000 3.2124
```

Calculated values
Spin magnetization = 2.87 μB per formula unit
Volume = 17.465 Å³/atom

Which structure is the least stable? The one labeled iii.

i | A plane-wave DFT calculation with PBE was carried out for an optimized crystal structure of PRhI2O.

Structure (extended XYZ):
```
5
Lattice="5.5481 0.0000 0.0000 0.0000 5.5481 0.0000 0.0000 0.0000 3.7267" Properties=species:S:1:pos:R:3 pbc="T T T"
P 0.0000 0.0000 0.0000
Rh 2.7741 2.7741 1.8633
I 0.0000 2.7741 1.8633
I 2.7741 0.0000 1.8633
O 2.7741 2.7741 0.0000
```

Calculated values
Spin magnetization = 0.00 μB per formula unit
Volume = 22.943 Å³/atom

ii | A plane-wave DFT calculation with PBE was carried out for an optimized crystal structure of PRhI2O.

Structure (extended XYZ):
```
5
Lattice="5.4192 0.0000 0.0000 0.0000 5.4192 0.0000 0.0000 0.0000 3.4592" Properties=species:S:1:pos:R:3 pbc="T T T"
P 0.0000 0.0000 0.0000
Rh 2.7096 2.7096 1.7296
I 0.0000 2.7096 0.0000
I 2.7096 0.0000 0.0000
O 0.0000 0.0000 1.7296
```

Calculated values
Spin magnetization = 0.15 μB per formula unit
Volume = 20.318 Å³/atom

Which structure is the least stable? The one labeled i.

i | A plane-wave DFT calculation with PBE was carried out for an optimized crystal structure of P2RhIO.

Structure (extended XYZ):
```
5
Lattice="4.9006 0.0000 0.0000 0.0000 4.9006 0.0000 0.0000 0.0000 3.7903" Properties=species:S:1:pos:R:3 pbc="T T T"
P 0.0000 2.4503 0.0000
P 2.4503 0.0000 0.0000
Rh 0.0000 0.0000 0.0000
I 2.4503 2.4503 1.8951
O 0.0000 0.0000 1.8951
```

Calculated values
Spin magnetization = 0.00 μB per formula unit
Volume = 18.206 Å³/atom

ii | A plane-wave DFT calculation with PBE was carried out for an optimized crystal structure of P2RhIO.

Structure (extended XYZ):
```
5
Lattice="5.0737 0.0000 0.0000 0.0000 5.0737 0.0000 0.0000 0.0000 3.8018" Properties=species:S:1:pos:R:3 pbc="T T T"
P 0.0000 2.5368 0.0000
P 2.5368 0.0000 0.0000
Rh 0.0000 0.0000 1.9009
I 2.5368 2.5368 0.0000
O 2.5368 2.5368 1.9009
```

Calculated values
Spin magnetization = 0.00 μB per formula unit
Volume = 19.573 Å³/atom

Which structure is the least stable? The one labeled ii.